No. 1
Density functional theory data (PBE) for Cs2LiPdBr6 after structural relaxation.

a = 7.653 Å, b = 7.653 Å, c = 7.653 Å
α = 120.10°, β = 120.10°, γ = 89.82°
Sites, in units of the cell vectors:
Cs1 0.250 0.750 0.500
Cs2 0.750 0.250 0.500
Li1 0.000 0.000 0.000
Pd1 0.500 0.500 0.000
Br1 0.258 0.258 0.517
Br2 0.258 0.742 0.000
Br3 0.261 0.261 0.000
Br4 0.739 0.739 0.000
Br5 0.742 0.258 0.000
Br6 0.742 0.742 0.483

The distance to the lowest polymorph of the same formula is 0.023 eV/atom. The uncorrected formation energy is -1.105 eV/atom.

***

No. 2
Density functional theory data (PBE) for As3C after structural relaxation.

a = 4.335 Å, b = 3.030 Å, c = 5.392 Å
α = 90.00°, β = 112.12°, γ = 90.00°
Sites, in units of the cell vectors:
As1 0.000 0.000 0.000
As2 0.309 0.500 0.678
As3 0.691 0.500 0.322
C1 0.500 0.000 0.500

The distance to the lowest polymorph of the same formula is 0.465 eV/atom. The calculated formation energy is 1006 meV/atom.

***

Number 1: electronic total energy -29.900 eV for the cell shown. Number 2: electronic total energy -19.147 eV for the cell shown.